Entry 1:
Here is a relaxed structure of InBr from the Alexandria database. Energies are from PBEsol.

E_form (uncorrected): -51.79 kJ/mol of atoms

abc: 3.8098 5.3227 6.4977
angles: 114.18 107.05 90.00
Positions (direct):
Br1 0.1051 0.8551 0.2102
Br2 0.8949 0.1449 0.7898
In1 0.6218 0.3718 0.2436
In2 0.3782 0.6282 0.7564


Entry 2:
Here is a relaxed structure of In2Br from the Alexandria database. Energies are from PBEsol.

N(E_F): 0.9 states/eV/f.u.
E_form (uncorrected): -22.91 kJ/mol of atoms
Polymorph energy (0 for the lowest one): 0.051 eV/atom

abc: 4.2953 4.2953 5.1186
angles: 90.00 90.00 90.00
Positions (direct):
In1 0.0000 0.5000 0.5000
In2 0.5000 0.0000 0.5000
Br1 0.0000 0.0000 0.0000


Entry 3:
Here is a relaxed structure of InBr2 from the Alexandria database. Energies are from PBEsol.

N(E_F): 1.9 states/eV/f.u.
E_form (uncorrected): -46.72 kJ/mol of atoms

abc: 5.9616 5.9616 5.9616
angles: 72.41 69.58 110.42
Positions (direct):
In1 0.0000 0.7500 0.2500
In2 0.0000 0.2500 0.7500
Br1 0.8878 0.1939 0.3061
Br2 0.1122 0.8061 0.6939
Br3 0.5000 0.3061 0.8061
Br4 0.5000 0.6939 0.1939


What did the second record say?
Here is a relaxed structure of In2Br from the Alexandria database. Energies are from PBEsol.

N(E_F): 0.9 states/eV/f.u.
E_form (uncorrected): -22.91 kJ/mol of atoms
Polymorph energy (0 for the lowest one): 0.051 eV/atom

abc: 4.2953 4.2953 5.1186
angles: 90.00 90.00 90.00
Positions (direct):
In1 0.0000 0.5000 0.5000
In2 0.5000 0.0000 0.5000
Br1 0.0000 0.0000 0.0000